No. 1
Entry from Alexandria: an optimized crystal structure of Pu3P2 (GGA-PBE).

Unit cell a=3.6163 b=10.1885 c=11.3974 alpha=90.00 beta=90.00 gamma=90.00
With the nearest neighbours (Å) after each atom.
Atoms (fractional coordinates):
Pu 0.2500 0.5733 0.5232  2 Pu 2.40
Pu 0.2500 0.9267 0.0232  2 Pu 2.40
Pu 0.7500 0.4267 0.4768  2 Pu 2.40
Pu 0.7500 0.0733 0.9768  2 Pu 2.40
Pu 0.7500 0.0572 0.6086  5 P 2.78-3.06
Pu 0.7500 0.4428 0.1086  5 P 2.78-3.06
Pu 0.2500 0.9428 0.3914  5 P 2.78-3.06
Pu 0.2500 0.5572 0.8914  5 P 2.78-3.06
Pu 0.2500 0.2852 0.7437  5 P 2.85-2.96
Pu 0.2500 0.2148 0.2437  5 P 2.85-2.96
Pu 0.7500 0.7148 0.2563  5 P 2.85-2.96
Pu 0.7500 0.7852 0.7563  5 P 2.85-2.96
P 0.2500 0.2199 0.4942  7 Pu 2.78-3.06
P 0.2500 0.2801 0.9942  7 Pu 2.78-3.06
P 0.7500 0.7801 0.5058  7 Pu 2.78-3.06
P 0.7500 0.7199 0.0058  7 Pu 2.78-3.06
P 0.7500 0.4993 0.7091  8 Pu 2.75-2.96
P 0.7500 0.0007 0.2091  8 Pu 2.75-2.96
P 0.2500 0.5007 0.2909  8 Pu 2.75-2.96
P 0.2500 0.9993 0.7909  8 Pu 2.75-2.96

Summary:
Energy relative to the elements ... -742 meV per atom

=====

No. 2
Entry from Alexandria: an optimized crystal structure of BaMgHgPb (GGA-PBE).

Unit cell a=5.6144 b=5.6144 c=5.6144 alpha=60.00 beta=60.00 gamma=60.00
With the nearest neighbours (Å) after each atom.
Atoms (fractional coordinates):
Pb 0.7500 0.7500 0.7500  4 Ba 3.44, 4 Mg 3.44
Mg 0.0000 0.0000 0.0000  4 Hg 3.44, 4 Pb 3.44
Hg 0.2500 0.2500 0.2500  4 Ba 3.44, 4 Mg 3.44
Ba 0.5000 0.5000 0.5000  4 Hg 3.44, 4 Pb 3.44

Summary:
Energy relative to the elements ... -365 meV per atom